# 1
The following is a PBE calculation of a geometry-optimized LaMoAs3 structure, from Alexandria via LeMat-Bulk.

Values from the calculation:
formation enthalpy at 0 K = -0.317 eV per atom
SG = No. 221

a = 4.9203 Å, b = 4.9203 Å, c = 4.9203 Å
α = 90.00°, β = 90.00°, γ = 90.00°
With the nearest neighbours (Å) after each atom.
Fractional positions:
As1 0.0000 0.0000 0.5000  2 Mo 2.46
Mo1 0.0000 0.0000 0.0000  6 As 2.46
As2 0.0000 0.5000 0.0000  2 Mo 2.46
La1 0.5000 0.5000 0.5000  12 As 3.48
As3 0.5000 0.0000 0.0000  2 Mo 2.46



# 2
The following is a PBE calculation of a geometry-optimized Hf12TiIn3 structure, from Alexandria via LeMat-Bulk.

Values from the calculation:
formation enthalpy at 0 K = -0.089 eV per atom
SG = No. 123

a = 4.4184 Å, b = 4.4184 Å, c = 17.7158 Å
α = 90.00°, β = 90.00°, γ = 90.00°
With the nearest neighbours (Å) after each atom.
Fractional positions:
Hf1 0.0000 0.5000 0.8786  8 Hf 3.08-3.19, 2 Ti 3.08, 2 In 3.16
In1 0.0000 0.0000 0.5000  12 Hf 3.12-3.13
Hf2 0.0000 0.5000 0.6248  8 Hf 3.11-3.13, 4 In 3.13-3.15
Hf3 0.5000 0.5000 0.0000  8 Hf 3.08, 4 Ti 3.12
Hf4 0.5000 0.5000 0.5000  4 In 3.12, 8 Hf 3.13
Hf5 0.5000 0.5000 0.7485  8 Hf 3.11-3.19, 4 In 3.12
Hf6 0.0000 0.5000 0.3752  8 Hf 3.11-3.13, 4 In 3.13-3.15
Hf7 0.5000 0.0000 0.3752  8 Hf 3.11-3.13, 4 In 3.13-3.15
Hf8 0.5000 0.5000 0.2515  8 Hf 3.11-3.19, 4 In 3.12
Hf9 0.5000 0.0000 0.1214  8 Hf 3.08-3.19, 2 Ti 3.08, 2 In 3.16
In2 0.0000 0.0000 0.7513  12 Hf 3.12-3.16
Hf10 0.5000 0.0000 0.8786  8 Hf 3.08-3.19, 2 Ti 3.08, 2 In 3.16
Ti1 0.0000 0.0000 0.0000  12 Hf 3.08-3.12
In3 0.0000 0.0000 0.2487  12 Hf 3.12-3.16
Hf11 0.0000 0.5000 0.1214  8 Hf 3.08-3.19, 2 Ti 3.08, 2 In 3.16
Hf12 0.5000 0.0000 0.6248  8 Hf 3.11-3.13, 4 In 3.13-3.15



| no. | N(E_F) (states/eV per cell) |
| --- | --- |
| 1 | 3.949 |
| 2 | 15.946 |